DFT (PBE-GGA) results for Ho2Ni3P4Pd after structural relaxation.

Cell and atoms, written as POSCAR:
```
Ho2Ni3P4Pd
1.0
4.044 0.000 0.000
0.000 4.044 0.000
0.000 0.000 9.142
Ho Ni P Pd
2 3 4 1
direct
0.000 0.500 0.240 Ho
0.500 0.000 0.760 Ho
0.000 0.500 0.887 Ni
0.500 0.000 0.113 Ni
0.500 0.500 0.500 Ni
0.000 0.000 0.000 P
0.000 0.500 0.642 P
0.500 0.000 0.358 P
0.500 0.500 0.000 P
0.000 0.000 0.500 Pd
```

Summary:
* total energy: -62.94 eV for the cell shown
* ΔH_f (0 K): -0.961 eV/atom